The following is a DFT calculation (PBE-GGA) of crystalline Tm2Zr2Sc5 at its relaxed geometry.

```
9
Lattice="3.3062 -0.2589 0.1398 -0.9560 8.6967 -0.5804 2.8558 -1.6811 8.1582" Properties=species:S:1:pos:R:3 pbc="T T T"
Zr 4.7468 1.1218 8.0524
Zr 0.4591 5.6349 -0.3349
Sc 2.0968 6.6505 2.2386
Sc 3.1091 0.1063 5.4789
Sc 3.5231 3.7280 2.4693
Sc 1.6828 3.0287 5.2482
Sc 0.0000 0.0000 0.0000
Tm 3.5731 5.7616 5.0801
Tm 1.6328 0.9951 2.6375
```

- Energy: -57.5 eV/cell
- Formation energy: 0.02 eV per atom

=====

The following is a DFT calculation (PBE-GGA) of crystalline La2Dy3HoTe6 at its relaxed geometry.

```
12
Lattice="-1.8871 -2.7439 -2.8754 7.1708 -5.2874 0.3394 -4.7141 -2.0844 8.4492" Properties=species:S:1:pos:R:3 pbc="T T T"
Dy 4.0424 -5.6010 2.6919
Dy 2.6419 -4.0157 -1.2680
Dy -3.4727 -4.5147 3.2213
Te -4.7756 -6.0896 5.5792
Te 2.8623 -7.2414 5.0318
Te 1.4701 -5.6265 1.0383
Te -2.2926 -2.8743 0.8814
Te -0.9004 -4.4892 4.8749
Te 5.3452 -4.0262 0.3340
La 0.5033 -2.9249 2.4608
La 0.0664 -7.1909 3.4524
Ho -0.9436 -1.3720 -1.4377
```

- Energy: -63.6 eV/cell
- Formation energy from raw total energies: -1.3783 eV/atom

=====

The following is a DFT calculation (PBE-GGA) of crystalline Dy5HoTmSc2 at its relaxed geometry.

```
18
Lattice="-2.6391 -4.6086 -1.6683 0.5091 -0.8966 10.9582 -8.1533 4.4014 0.7389" Properties=species:S:1:pos:R:3 pbc="T T T"
Dy -6.8637 0.2956 10.0409
Dy -8.4908 -0.1414 4.5349
Dy -1.0242 -2.2982 7.9686
Dy -0.1076 -0.0309 0.2555
Dy -3.3981 -1.4109 -0.0141
Dy -5.9607 -0.5861 1.7612
Dy -3.4147 -2.5861 3.2585
Dy -6.2746 -3.1788 9.4197
Dy -6.3528 1.2039 6.7235
Dy -3.1439 -0.2328 5.6163
Tm -4.0885 -0.7134 8.4379
Tm -8.9940 1.1207 1.8446
Sc -3.5633 -3.7585 6.7321
Sc -8.6684 -1.1500 7.6020
Sc -2.8295 0.7019 2.5369
Sc -5.9435 2.2355 3.2263
Ho -6.0460 -2.0476 5.9334
Ho -0.4379 -1.1072 3.7510
```

- Energy: -86.5 eV/cell
- Formation energy: 0.17 eV per atom

=====

The following is a DFT calculation (PBE-GGA) of crystalline Sr2Cd9Pd6 at its relaxed geometry.

```
17
Lattice="6.0496 0.0000 0.0000 -3.0248 5.2391 0.0000 0.0000 0.0000 12.9436" Properties=species:S:1:pos:R:3 pbc="T T T"
Cd 3.0248 0.0000 2.1050
Cd -1.5124 2.6196 10.8386
Cd 3.0248 0.0000 10.8386
Cd 1.5124 2.6196 10.8386
Cd 1.5124 2.6196 2.1050
Cd -1.5124 2.6196 6.4718
Cd 3.0248 0.0000 6.4718
Cd -1.5124 2.6196 2.1050
Cd 1.5124 2.6196 6.4718
Pd 0.0000 3.4927 4.2718
Pd 3.0248 1.7464 0.0000
Pd 3.0248 1.7464 8.6718
Pd 3.0248 1.7464 4.2718
Pd 0.0000 3.4927 8.6718
Pd 0.0000 3.4927 0.0000
Sr 0.0000 0.0000 8.6738
Sr 0.0000 0.0000 4.2698
```

- Energy: -48.3 eV/cell
- Formation energy: -0.33 eV per atom

=====

The following is a DFT calculation (PBE-GGA) of crystalline KZnP2 at its relaxed geometry.

```
4
Lattice="5.3177 0.0399 0.0000 1.7770 5.0121 0.0000 -3.5473 -2.5260 3.0520" Properties=species:S:1:pos:R:3 pbc="T T T"
Zn 3.5473 2.5260 0.0000
K 2.6588 0.0199 1.5260
P 0.8885 2.5061 1.5260
P 0.0000 0.0000 0.0000
```

- Energy: -11.0 eV/cell
- Formation energy: 0.54 eV per atom

=====

The following is a DFT calculation (PBE-GGA) of crystalline Sm4ZrTl5 at its relaxed geometry.

```
10
Lattice="3.6025 0.0000 0.0000 0.0000 3.6025 0.0000 0.0000 0.0000 21.1174" Properties=species:S:1:pos:R:3 pbc="T T T"
Tl 1.8012 1.8012 1.9088
Tl 1.8012 1.8012 10.5587
Tl 1.8012 1.8012 14.8925
Tl 1.8012 1.8012 6.2248
Tl 1.8012 1.8012 19.2086
Zr 0.0000 0.0000 0.0000
Sm 0.0000 0.0000 8.3835
Sm 0.0000 0.0000 12.7339
Sm 0.0000 0.0000 17.0604
Sm 0.0000 0.0000 4.0570
```

- Energy: -42.2 eV/cell
- Formation energy: -0.29 eV per atom

=====

The following is a DFT calculation (PBE-GGA) of crystalline Sb2TeMoN at its relaxed geometry.

```
5
Lattice="-1.0224 2.6296 3.7425 -4.5045 -1.2443 -0.3564 0.7817 -3.6193 2.7566" Properties=species:S:1:pos:R:3 pbc="T T T"
Sb -0.5112 1.3148 1.8712
Sb -2.2523 -0.6221 -0.1782
N 0.0000 0.0000 0.0000
Te 0.3908 -1.8097 1.3783
Mo -2.3727 -1.1170 3.0714
```

- Excess energy over the best structure of this formula in the dataset: 0.000 eV per atom
- Energy: -26.0 eV/cell
- Formation energy from raw total energies: 0.9088 eV/atom

=====

The following is a DFT calculation (PBE-GGA) of crystalline TaCuAu at its relaxed geometry.

```
3
Lattice="4.8282 -0.0124 0.0170 2.2758 4.2582 -0.0170 -3.1129 -2.8577 2.3357" Properties=species:S:1:pos:R:3 pbc="T T T"
Ta 4.7550 2.8419 0.0000
Cu 2.3582 1.4094 0.0000
Au 7.0948 4.2403 0.0000
```

- Excess energy over the best structure of this formula in the dataset: 0.064 eV per atom
- Energy: -19.0 eV/cell
- Formation energy: 0.06 eV per atom

=====

The following is a DFT calculation (PBE-GGA) of crystalline Ho8Zn2Fe at its relaxed geometry.

```
11
Lattice="4.7055 0.0000 -1.4321 -1.2333 7.1349 -4.0522 0.0002 -0.0270 8.4474" Properties=species:S:1:pos:R:3 pbc="T T T"
Ho 0.9146 4.0160 3.0051
Ho 3.8732 4.7894 4.2797
Ho 2.5579 3.0918 -0.0420
Ho 0.4357 0.8882 1.4315
Ho 1.4645 0.8351 4.8119
Ho 3.0368 6.2196 1.5316
Ho -0.4007 2.3184 -1.3166
Ho 2.0080 6.2727 -1.8488
Zn 3.4048 2.1449 2.7407
Zn 0.0677 4.9629 0.2224
Fe 2.3528 0.0000 -0.7160
```

- Excess energy over the best structure of this formula in the dataset: 0.126 eV per atom
- Energy: -47.3 eV/cell
- Formation energy: 0.03 eV per atom

=====

The following is a DFT calculation (PBE-GGA) of crystalline AcTlI2 at its relaxed geometry.

```
4
Lattice="4.1437 0.0000 0.0000 2.0718 3.5885 0.0000 2.0718 1.1962 11.8389" Properties=species:S:1:pos:R:3 pbc="T T T"
Tl 0.0000 0.0000 0.0000
I 2.0718 1.1962 8.3121
I 6.2155 3.5885 3.5268
Ac 4.1437 2.3923 5.9195
```

- Energy: -13.0 eV/cell
- Formation energy from raw total energies: -0.8493 eV/atom

=====

The following is a DFT calculation (PBE-GGA) of crystalline OsPdPb3 at its relaxed geometry.

```
5
Lattice="5.2561 0.0000 0.0000 0.0000 5.2561 0.0000 0.0000 0.0000 5.2561" Properties=species:S:1:pos:R:3 pbc="T T T"
Os 2.6280 2.6280 2.6280
Pb 2.6280 0.0000 0.0000
Pb 0.0000 0.0000 2.6280
Pb 0.0000 2.6280 0.0000
Pd 0.0000 0.0000 0.0000
```

- Energy: -21.7 eV/cell
- Formation energy: 1.18 eV per atom

=====

The following is a DFT calculation (PBE-GGA) of crystalline CaSm8Dy3 at its relaxed geometry.

```
12
Lattice="-7.5934 -2.4934 3.3424 6.5596 -5.6391 -0.4701 5.0183 5.5453 4.3720" Properties=species:S:1:pos:R:3 pbc="T T T"
Sm 5.5392 -2.6433 0.6197
Sm 5.5578 -1.2335 4.6182
Sm -3.8150 -1.7906 2.9216
Sm 8.0962 1.5380 3.4981
Sm 4.8222 2.5594 2.8722
Sm 2.7424 -0.7557 2.6184
Sm 8.5387 -1.6728 2.1081
Sm -0.3569 -1.3636 3.0360
Dy 5.7889 -0.0469 1.9509
Dy 1.6069 1.5025 4.8327
Dy 2.3775 -4.0897 2.4116
Ca 0.0000 0.0000 0.0000
```

- Energy: -46.1 eV/cell
- Formation energy: 0.62 eV per atom